The following is a DFT calculation (GGA-PBE) of a relaxed Zr3ReS crystal.

Computed properties:
total magnetization: 0.245 μB per atom
uncorrected formation energy: -0.004 eV per atom
relative energy among the computed polymorphs: 0.0 meV per atom
density: 7.69 g/cm³

Cell lengths 4.7362, 4.7362, 4.7362 Å; angles 90.00, 90.00, 90.00 degrees
Each line ends with the local moment (μB).
Element x y z (fractional)
Zr: 0.0000 0.0000 0.5000  -0.03
Zr: 0.0000 0.5000 0.0000  0.00
Zr: 0.5000 0.0000 0.0000  -0.04
S: 0.0000 0.0000 0.0000  0.01
Re: 0.5000 0.5000 0.5000  1.11


The following is a DFT calculation (GGA-PBE) of a relaxed ZrReS3 crystal.

Computed properties:
total magnetization: 0.003 μB per atom
uncorrected formation energy: 0.185 eV per atom
relative energy among the computed polymorphs: 0.0 meV per atom
density: 6.36 g/cm³

Cell lengths 4.6043, 4.6043, 4.6043 Å; angles 90.00, 90.00, 90.00 degrees
Element x y z (fractional)
Zr: 0.5000 0.5000 0.5000
S: 0.5000 0.0000 0.0000
S: 0.0000 0.5000 0.0000
S: 0.0000 0.0000 0.5000
Re: 0.0000 0.0000 0.0000


The following is a DFT calculation (GGA-PBE) of a relaxed Zr3ReS crystal.

Computed properties:
total magnetization: 0.000 μB per atom
uncorrected formation energy: 0.571 eV per atom
relative energy among the computed polymorphs: 575.1 meV per atom
density: 6.23 g/cm³

Cell lengths 5.0798, 5.0798, 5.0798 Å; angles 90.00, 90.00, 90.00 degrees
Element x y z (fractional)
Zr: 0.0000 0.5000 0.0000
Zr: 0.5000 0.0000 0.0000
Zr: 0.0000 0.0000 0.5000
S: 0.5000 0.5000 0.5000
Re: 0.0000 0.0000 0.0000


The following is a DFT calculation (GGA-PBE) of a relaxed ZrRe3S crystal.

Computed properties:
total magnetization: 0.366 μB per atom
uncorrected formation energy: 3.019 eV per atom
relative energy among the computed polymorphs: 2567.0 meV per atom
density: 9.95 g/cm³

Cell lengths 4.8463, 4.8463, 4.8463 Å; angles 90.00, 90.00, 90.00 degrees
Each line ends with the local moment (μB).
Element x y z (fractional)
Zr: 0.0000 0.0000 0.0000  -0.08
Re: 0.5000 0.0000 0.0000  0.74
Re: 0.0000 0.5000 0.0000  0.62
Re: 0.0000 0.0000 0.5000  0.52
S: 0.5000 0.5000 0.5000  -0.14


The following is a DFT calculation (GGA-PBE) of a relaxed ZrReS3 crystal.

Computed properties:
total magnetization: 1.001 μB per atom
uncorrected formation energy: 0.533 eV per atom
relative energy among the computed polymorphs: 348.8 meV per atom
density: 5.09 g/cm³

Cell lengths 4.9582, 4.9582, 4.9582 Å; angles 90.00, 90.00, 90.00 degrees
Each line ends with the local moment (μB).
Element x y z (fractional)
S: 0.0000 0.0000 0.5000  0.00
S: 0.5000 0.0000 0.0000  -0.02
S: 0.0000 0.5000 0.0000  -0.03
Re: 0.5000 0.5000 0.5000  4.12
Zr: 0.0000 0.0000 0.0000  0.07


The following is a DFT calculation (GGA-PBE) of a relaxed ZrRe3S crystal.

Computed properties:
total magnetization: 0.000 μB per atom
uncorrected formation energy: 0.452 eV per atom
relative energy among the computed polymorphs: 0.0 meV per atom
density: 13.35 g/cm³

Cell lengths 4.3934, 4.3934, 4.3934 Å; angles 90.00, 90.00, 90.00 degrees
Element x y z (fractional)
Re: 0.5000 0.0000 0.0000
Re: 0.0000 0.5000 0.0000
Re: 0.0000 0.0000 0.5000
Zr: 0.5000 0.5000 0.5000
S: 0.0000 0.0000 0.0000


The following is a DFT calculation (GGA-PBE) of a relaxed ReSb crystal.

Computed properties:
total magnetization: 0.000 μB per atom
uncorrected formation energy: 0.589 eV per atom
relative energy among the computed polymorphs: 369.3 meV per atom
density: 13.89 g/cm³

Cell lengths 3.0183, 4.2302, 5.7671 Å; angles 90.00, 90.00, 90.00 degrees
Element x y z (fractional)
Re: 0.5000 0.5000 0.7358
Re: 0.0000 0.0000 0.0142
Sb: 0.5000 0.5000 0.2016
Sb: 0.0000 0.0000 0.5484


The following is a DFT calculation (GGA-PBE) of a relaxed ReSb crystal.

Computed properties:
total magnetization: 0.000 μB per atom
uncorrected formation energy: 0.902 eV per atom
relative energy among the computed polymorphs: 682.0 meV per atom
density: 13.84 g/cm³

Cell lengths 5.0502, 5.0502, 5.0502 Å; angles 129.95, 129.95, 73.49 degrees
Element x y z (fractional)
Sb: 0.5000 0.5000 0.0000
Sb: 0.7500 0.2500 0.5000
Re: 0.0000 0.0000 0.0000
Re: 0.2500 0.7500 0.5000


density of number 1 (Zr3ReS)? 7.69 g/cm³


Look up the relative energy among the computed polymorphs of the seventh one. 369.3 meV per atom


Which value of density does entry 7 give? 13.89 g/cm³